Computed, not measured: crystalline Nd4OsPt at its relaxed geometry at the PBE-GGA level of DFT.

Output
- total magnetization (Bohr magnetons per cell) = 0.0
- DFT formation energy (eV/atom) = -0.4449
- D(E_F) (states/eV per cell) = 12.88

```
Nd4OsPt
1.0
4.6038 -6.7507 0.0000
4.6038 6.7507 0.0000
-3.4938 0.0000 5.4220
Nd Os Pt
8 2 2
direct
0.0500 0.6996 0.9066
0.2335 0.3646 0.7216
0.3004 0.9500 0.5934
0.3646 0.2335 0.2216
0.6354 0.7665 0.7784
0.6996 0.0500 0.4066
0.7665 0.6354 0.2784
0.9500 0.3004 0.0934
0.0031 0.9969 0.2500
0.9969 0.0031 0.7500
0.3656 0.6344 0.2500
0.6344 0.3656 0.7500
```